First-principles (GGA+U) data for crystalline MnReN2O at its relaxed geometry, as listed in Alexandria.

a = 3.765 Å, b = 3.765 Å, c = 3.605 Å
α = 90.00°, β = 90.00°, γ = 90.00°
Each line ends with the local moment (μB).
Fractional coordinates of all 5 atoms:
Re 0.500 0.500 0.500  0.53
Mn 0.000 0.000 0.000  2.98
O 0.000 0.000 0.500  0.01
N 0.000 0.500 0.000  -0.13
N 0.500 0.000 0.000  -0.13

Summary:
total energy: -7.13 eV/atom
V: 10.22 Å³ per atom
density of states at the Fermi level: 0.74 states/eV/atom